Density functional theory data (PBE) for an optimized crystal structure of Ho6SnSb3Se2.

Space group: C2/m
DOS at the Fermi energy (states/eV/cell): 2.55
Formation energy from raw total energies (eV/atom): -1.25
Size of the total moment (μB per formula unit): 0.00
Mass density (g/cm³): 8.157

Cell: 9.545 9.545 8.574 Å, 102.80 102.80 25.89°
Fractional coordinates of all 12 atoms:
Ho 0.004 0.004 0.250
Ho 0.332 0.332 0.420
Ho 0.333 0.333 0.912
Ho 0.667 0.667 0.088
Ho 0.668 0.668 0.580
Ho 0.996 0.996 0.750
Sn 0.500 0.500 0.000
Sb 0.167 0.167 0.831
Sb 0.500 0.500 0.500
Sb 0.833 0.833 0.169
Se 0.169 0.169 0.338
Se 0.831 0.831 0.662